[1]
Entry from Alexandria via LeMat-Bulk: a relaxed MgNi2 crystal (PBE-GGA).

## Properties
* uncorrected energy: -4.2842 eV per atom
* space-group type: P-3m1, No. 164

Lattice parameters (Å, degrees): 2.693 2.693 6.183 90.00 90.00 120.00
Positions (direct):
Mg 0.000 0.000 0.000
Ni 0.333 0.667 0.658
Ni 0.667 0.333 0.342



[2]
Entry from Alexandria via LeMat-Bulk: a relaxed La2SmAl12Co3 crystal (PBE-GGA).

## Properties
* uncorrected energy: -4.5234 eV per atom
* space-group type: R-3m, No. 166

Lattice parameters (Å, degrees): 8.007 8.007 8.007 63.77 63.77 63.77
Positions (direct):
La 0.084 0.084 0.084
La 0.916 0.916 0.916
Sm 0.500 0.500 0.500
Al 0.023 0.662 0.662
Al 0.224 0.224 0.594
Al 0.224 0.594 0.224
Al 0.338 0.338 0.977
Al 0.338 0.977 0.338
Al 0.406 0.776 0.776
Al 0.594 0.224 0.224
Al 0.662 0.023 0.662
Al 0.662 0.662 0.023
Al 0.776 0.406 0.776
Al 0.776 0.776 0.406
Al 0.977 0.338 0.338
Co 0.000 0.500 0.500
Co 0.500 0.000 0.500
Co 0.500 0.500 0.000



[3]
Entry from Alexandria via LeMat-Bulk: a relaxed TbPmHo2 crystal (PBE-GGA).

## Properties
* uncorrected energy: -4.6173 eV per atom
* space-group type: R-3m, No. 166
* polymorph energy (0 for the lowest one): 1 meV per atom

Lattice parameters (Å, degrees): 11.779 11.779 11.779 17.41 17.41 17.41
Positions (direct):
Tb 0.000 0.000 0.000
Pm 0.500 0.500 0.500
Ho 0.251 0.251 0.251
Ho 0.749 0.749 0.749



| no. | magnetization (μB per formula unit) |
| --- | --- |
| 1 | 0.24 |
| 2 | 0.00 |
| 3 | 0.00 |